1.
DFT (GGA-PBE) results for a relaxed structure of Nd3Sn4Pd8.

Cell: 13.4491 13.4491 13.4491 Å, 90.00 90.00 90.00°
Space group Fm-3m (No. 225)
Symmetry-distinct sites (fractional):
Nd  0.0000  0.0000  0.2295 x24
Sn  0.0000  0.0000  0.0000 x4
Sn  0.0000  0.0000  0.5000 x4
Sn  0.0000  0.2500  0.2500 x24
Pd  0.1221  0.1221  0.3779 x32
Pd  0.1676  0.1676  0.1676 x32

magnetization: 0.000 μB/atom
uncorrected energy: -5.541 eV/atom
mass density: 9.61 Mg/m³


2.
DFT (GGA-PBE) results for a relaxed structure of NdSn4Pd4.

Cell: 9.2685 9.2685 4.6855 Å, 90.00 90.00 90.00°
Space group I4/m (No. 87)
Symmetry-distinct sites (fractional):
Nd  0.0000  0.0000  0.0000 x2
Sn  0.1212  0.3583  0.0000 x8
Pd  0.0887  0.2015  0.5000 x8

magnetization: 0.000 μB/atom
uncorrected energy: -5.132 eV/atom
mass density: 8.62 Mg/m³


Q: What is the mass density in the second record?
A: 8.62 Mg/m³